# 1
Material: MnCr2Mo
Method: DFT, PBE
State: optimized geometry

CIF file:
```
data_MnCr2Mo
_chemical_formula_sum 'Mn2 Cr4 Mo2'
_space_group_name_H-M_alt 'C 1 2/m 1'
_space_group_IT_number 12
_space_group_name_Hall '-C 2y'
_cell_length_a 5.0615
_cell_length_b 8.2784
_cell_length_c 2.5770
_cell_angle_alpha 90.00
_cell_angle_beta 109.97
_cell_angle_gamma 90.00
loop_
_atom_site_label
_atom_site_fract_x
_atom_site_fract_y
_atom_site_fract_z
_atom_site_occupancy
Mn1 0.0000 0.0000 0.0000 1
Cr1 0.2500 0.2500 0.5000 1
Mo1 0.0000 0.5000 0.0000 1
```

Summary:
The total energy is -9.694 eV per atom. The energy above the most stable polymorph in this dataset comes out at 30 meV/atom.

---

# 2
Material: Rb2PaTeSe2
Method: DFT, PBE
State: optimized geometry

CIF file:
```
data_Rb2PaTeSe2
_chemical_formula_sum 'Rb2 Pa1 Te1 Se2'
_space_group_name_H-M_alt 'P 4/m m m'
_space_group_IT_number 123
_space_group_name_Hall '-P 4 2'
_cell_length_a 5.6726
_cell_length_b 5.6726
_cell_length_c 6.6883
_cell_angle_alpha 90.00
_cell_angle_beta 90.00
_cell_angle_gamma 90.00
loop_
_atom_site_label
_atom_site_fract_x
_atom_site_fract_y
_atom_site_fract_z
_atom_site_occupancy
Rb1 0.0000 0.0000 0.2323 1
Pa1 0.5000 0.5000 0.5000 1
Te1 0.5000 0.5000 0.0000 1
Se1 0.0000 0.5000 0.5000 1
```

Summary:
The total energy is -4.659 eV per atom. The calculation puts the formation energy (no corrections) at -1068.5 meV per atom.

---

Number 2 is which compound? Rb2PaTeSe2